1.
Material: NdZn3NiPd
Method: DFT, PBE-GGA
State: relaxed

Cell and atoms, written as POSCAR:
```
NdZn3NiPd
1.0
5.455 0.000 0.000
0.000 7.901 0.000
0.000 -3.950 5.444
Nd Zn Ni Pd
2 6 2 2
Cartesian
4.092 0.000 3.323
1.364 3.950 2.121
1.364 0.000 2.019
0.000 2.093 0.000
2.728 5.808 0.000
2.728 2.093 0.000
0.000 5.808 0.000
4.092 3.950 3.425
1.364 0.000 4.523
4.092 3.950 0.921
1.364 3.950 4.926
4.092 0.000 0.518
```

## Properties
**DFT formation energy**: -0.25 eV/atom
**Crystal system**: orthorhombic

=====

2.
Material: NdZrTlIn
Method: DFT, PBE-GGA
State: relaxed

Cell and atoms, written as POSCAR:
```
NdZrTlIn
1.0
-4.991 1.705 0.155
-3.016 -1.045 4.201
-1.360 3.883 3.303
Tl Nd Zr In
1 1 1 1
Cartesian
0.000 0.000 0.000
-7.025 3.407 5.744
-2.342 1.136 1.915
-4.683 2.272 3.829
```

## Properties
**DFT formation energy**: -0.18 eV/atom
**Crystal system**: cubic

=====

3.
Material: LaZr2Sn2
Method: DFT, PBE-GGA
State: relaxed

Cell and atoms, written as POSCAR:
```
LaZr2Sn2
1.0
-2.222 -4.383 6.624
-4.505 -4.969 -4.799
2.970 -2.229 -0.479
Sn Zr La
4 4 2
Cartesian
-4.748 -5.954 -1.723
-4.769 -6.943 2.750
-1.979 -3.398 3.547
-1.958 -2.409 -0.926
-1.887 -5.155 -2.336
-3.751 -8.178 0.174
-1.870 -6.426 3.681
-0.006 -3.404 1.172
0.000 0.000 0.000
-3.363 -4.676 0.912
```

## Properties
**DFT formation energy**: -0.46 eV/atom
**Crystal system**: tetragonal
**E above lowest polymorph**: 7.5 kJ/mol of atoms

=====

4.
Material: ZrTc3Br
Method: DFT, PBE-GGA
State: relaxed

Cell and atoms, written as POSCAR:
```
ZrTc3Br
1.0
-2.005 1.523 -4.364
-4.621 -0.556 1.929
0.102 4.771 1.618
Br Tc Zr
1 3 1
Cartesian
-3.262 2.869 -0.409
-2.311 -0.278 0.965
0.051 2.385 0.809
-1.003 0.761 -2.182
0.000 0.000 0.000
```

## Properties
**Crystal system**: cubic
**E above lowest polymorph**: 91.8 kJ/mol of atoms

=====

5.
Material: RbIn2IrPt
Method: DFT, PBE-GGA
State: relaxed

Cell and atoms, written as POSCAR:
```
RbIn2IrPt
1.0
-3.291 4.411 -2.171
-0.304 -2.366 -4.346
-4.902 -2.752 1.841
Ir Rb Pt In
1 1 1 2
Cartesian
-0.152 -1.183 -2.173
0.000 0.000 0.000
-4.249 -0.354 -2.338
-2.451 -1.376 0.920
-1.645 2.205 -1.085
```

## Properties
**DFT formation energy**: 2.09 eV/atom
**Crystal system**: tetragonal

=====

6.
Material: TcOsRh
Method: DFT, PBE-GGA
State: relaxed

Cell and atoms, written as POSCAR:
```
TcOsRh
1.0
-2.475 3.028 2.648
-4.205 -1.287 1.722
4.631 -0.905 -0.197
Os Rh Tc
1 1 1
Cartesian
-0.023 0.006 0.015
-2.230 0.581 1.459
-4.427 1.154 2.896
```

## Properties
**DFT formation energy**: 0.01 eV/atom
**Crystal system**: orthorhombic
**E above lowest polymorph**: 12.0 kJ/mol of atoms

=====

7.
Material: TlIn3Bi
Method: DFT, PBE-GGA
State: relaxed

Cell and atoms, written as POSCAR:
```
TlIn3Bi
1.0
8.470 0.000 0.000
0.000 8.710 -0.892
0.000 -3.837 8.609
Tl In Bi
4 12 4
Cartesian
8.182 5.151 1.132
0.288 -0.278 6.586
3.947 1.640 2.281
4.523 3.233 5.436
0.923 -0.517 3.103
7.547 5.390 4.614
5.158 7.308 0.310
3.312 -2.436 7.407
5.155 4.939 2.518
3.315 -0.066 5.199
0.920 1.852 0.895
7.550 3.021 6.823
1.374 2.518 4.623
7.096 2.355 3.094
5.609 0.437 7.399
2.861 4.436 0.318
2.183 5.450 3.626
6.287 -0.577 4.091
6.418 -2.496 8.396
2.052 7.369 -0.678
```

## Properties
**DFT formation energy**: 0.03 eV/atom
**Crystal system**: monoclinic
**E above lowest polymorph**: 0.0 kJ/mol of atoms

=====

8.
Material: PmCu2
Method: DFT, PBE-GGA
State: relaxed

Cell and atoms, written as POSCAR:
```
PmCu2
1.0
-2.642 3.105 -3.452
-3.222 -2.201 -3.649
-5.295 0.562 0.426
Cu Pm
4 2
Cartesian
-5.653 -0.636 -2.446
-5.364 2.017 -2.347
-6.974 0.917 -4.172
-4.327 0.635 -4.384
0.000 0.000 0.000
-2.790 0.367 -1.669
```

## Properties
**DFT formation energy**: -0.10 eV/atom
**Crystal system**: cubic
**E above lowest polymorph**: 12.2 kJ/mol of atoms

=====

9.
Material: Ca2MnGaAu6
Method: DFT, PBE-GGA
State: relaxed

Cell and atoms, written as POSCAR:
```
Ca2MnGaAu6
1.0
7.943 0.186 0.842
0.186 7.108 -0.319
4.700 3.439 4.204
Ca Mn Ga Au
2 1 1 6
Cartesian
7.767 3.078 2.881
5.061 7.654 1.846
0.000 0.000 0.000
4.064 3.647 0.262
2.817 3.017 2.397
6.487 5.099 0.975
1.719 4.971 0.332
11.109 5.761 4.395
6.342 5.634 3.752
10.012 7.715 2.330
```

## Properties
**DFT formation energy**: -0.36 eV/atom
**Crystal system**: triclinic

=====

10.
Material: Tm6SnGe2Te3
Method: DFT, PBE-GGA
State: relaxed

Cell and atoms, written as POSCAR:
```
Tm6SnGe2Te3
1.0
4.224 0.000 0.000
0.000 8.611 0.269
-2.112 -2.521 8.986
Tm Sn Ge Te
6 1 2 3
Cartesian
0.000 5.989 6.238
2.112 3.990 3.297
2.112 0.101 3.016
0.000 2.094 0.244
2.112 3.996 9.011
0.000 2.100 5.957
2.112 0.000 0.000
2.112 4.042 6.153
0.000 2.048 3.101
2.112 4.305 0.134
2.112 -0.252 6.075
0.000 6.342 3.180
```

## Properties
**Total DFT energy (no corrections)**: -0.382 Ry per atom
**Crystal system**: monoclinic

=====

11.
Material: Tm4Sn2Te
Method: DFT, PBE-GGA
State: relaxed

Cell and atoms, written as POSCAR:
```
Tm4Sn2Te
1.0
-3.112 -1.520 -5.042
-0.697 -5.979 2.233
-7.677 3.036 5.732
Tm Sn Te
8 4 2
Cartesian
-4.177 -3.055 -0.200
-9.933 -3.437 1.541
-1.553 -1.026 1.382
-4.521 -6.009 0.903
-7.036 -1.152 -0.665
-6.965 1.546 2.019
-7.309 -1.408 3.122
-4.451 -3.312 3.588
-9.713 -2.253 4.779
-1.773 -2.210 -1.857
-4.672 -0.577 1.612
-6.814 -3.886 1.311
-1.894 -4.081 2.326
-9.592 -0.382 0.596
```

## Properties
**Total DFT energy (no corrections)**: -0.352 Ry per atom
**Crystal system**: monoclinic

=====

12.
Material: U4SeS6
Method: DFT, PBE-GGA
State: relaxed

Cell and atoms, written as POSCAR:
```
U4SeS6
1.0
3.762 0.000 0.000
0.000 8.377 0.000
0.000 -4.189 7.255
U Se S
4 1 6
Cartesian
1.881 4.189 4.755
1.881 2.165 1.250
1.881 6.212 1.250
0.000 0.000 4.837
0.000 0.000 0.000
0.000 4.189 0.601
1.881 1.710 5.824
0.000 2.615 3.327
0.000 5.762 3.327
1.881 -1.710 5.824
1.881 0.000 2.862
```

## Properties
**Total DFT energy (no corrections)**: -0.592 Ry per atom
**Crystal system**: hexagonal

=====

Number 1: N(E_F) 6.18 states/eV/cell. Number 2: N(E_F) 3.98 states/eV/cell. Number 3: N(E_F) 6.64 states/eV/cell. Number 4: N(E_F) 3.87 states/eV/cell. Number 5: N(E_F) 4.75 states/eV/cell. Number 6: N(E_F) 3.38 states/eV/cell. Number 7: N(E_F) 9.06 states/eV/cell. Number 8: N(E_F) 3.42 states/eV/cell. Number 9: N(E_F) 4.75 states/eV/cell. Number 10: N(E_F) 2.08 states/eV/cell. Number 11: N(E_F) 8.34 states/eV/cell. Number 12: N(E_F) 19.13 states/eV/cell.